This record from the Alexandria database describes a relaxed structure of TlTcO3. The functional is PBE.

Summary:
Energy, eV per cell: -133.7
Total magnetic moment, μB per cell: 0.00
Uncorrected formation energy, eV/atom: -1.17

a = 13.121 Å, b = 8.079 Å, c = 8.079 Å
α = 96.27°, β = 133.39°, γ = 46.61°
Element x y z (fractional)
Tl1 0.205 0.373 0.391
Tl2 0.295 0.891 0.873
Tl3 0.795 0.627 0.609
Tl4 0.705 0.109 0.127
Tc1 0.750 0.209 0.709
Tc2 0.250 0.791 0.291
Tc3 0.750 0.472 0.972
Tc4 0.250 0.528 0.028
O1 0.446 0.372 0.474
O2 0.054 0.974 0.872
O3 0.554 0.628 0.526
O4 0.946 0.026 0.128
O5 0.056 0.205 0.156
O6 0.444 0.656 0.705
O7 0.944 0.795 0.844
O8 0.556 0.344 0.295
O9 0.657 0.782 0.890
O10 0.843 0.390 0.282
O11 0.343 0.218 0.110
O12 0.157 0.610 0.718